No. 1
The following is a PBE calculation of a relaxed Be3ZnNi4 crystal, from the Alexandria database.

Unit cell a=6.6583 b=6.6583 c=6.6583 alpha=33.14 beta=33.14 gamma=33.14
Last column: nearest neighbours and their distance in Å.
Positions (direct):
Be  0.0000  0.0000  0.0000  8 Ni 2.21-2.30
Be  0.2515  0.2515  0.2515  7 Ni 2.25-2.35
Be  0.7485  0.7485  0.7485  7 Ni 2.25-2.35
Zn  0.5000  0.5000  0.5000  8 Ni 2.38-2.43
Ni  0.1171  0.1171  0.1171  4 Be 2.21-2.29, 3 Zn 2.38
Ni  0.3709  0.3709  0.3709  7 Be 2.25-2.35, 1 Zn 2.43
Ni  0.6291  0.6291  0.6291  7 Be 2.25-2.35, 1 Zn 2.43
Ni  0.8829  0.8829  0.8829  4 Be 2.21-2.29, 3 Zn 2.38

Results
The formation energy is -0.34 eV/atom. The value obtained for the total magnetization is 0.0 μB/cell.

***

No. 2
The following is a PBE calculation of a relaxed MgFe4B4 crystal, from the Alexandria database.

Unit cell a=6.7520 b=6.7520 c=3.9028 alpha=90.00 beta=90.00 gamma=90.00
Last column: nearest neighbours and their distance in Å.
Positions (direct):
Mg  0.2500  0.2500  0.2500  4 B 2.54, 4 Fe 2.71
Mg  0.7500  0.7500  0.7500  4 B 2.54, 4 Fe 2.71
Fe  0.1197  0.8768  0.1283  5 B 1.98-2.12
Fe  0.1232  0.6197  0.6283  5 B 1.98-2.12
Fe  0.3768  0.8803  0.6283  5 B 1.98-2.12
Fe  0.3803  0.6232  0.1283  5 B 1.98-2.12
Fe  0.6197  0.3768  0.8717  5 B 1.98-2.12
Fe  0.6232  0.1197  0.3717  5 B 1.98-2.12
Fe  0.8768  0.3803  0.3717  5 B 1.98-2.12
Fe  0.8803  0.1232  0.8717  5 B 1.98-2.12
B  0.0697  0.5730  0.1349  1 B 1.72
B  0.0730  0.9303  0.6349  1 B 1.72
B  0.4270  0.5697  0.6349  1 B 1.72
B  0.4303  0.9270  0.1349  1 B 1.72
B  0.5697  0.0730  0.8651  1 B 1.72
B  0.5730  0.4303  0.3651  1 B 1.72
B  0.9270  0.0697  0.3651  1 B 1.72
B  0.9303  0.4270  0.8651  1 B 1.72

Results
The formation energy is -0.29 eV/atom. The value obtained for the total magnetization is 6.4 μB/cell.

***

No. 3
The following is a PBE calculation of a relaxed PuThSc2 crystal, from the Alexandria database.

Unit cell a=11.0607 b=3.2350 c=12.0969 alpha=90.00 beta=90.00 gamma=90.00
Last column: nearest neighbours and their distance in Å.
Positions (direct):
Pu  0.0183  0.2500  0.1264  4 Pu 3.23-3.48, 7 Sc 3.28-3.57, 2 Th 3.40
Pu  0.4817  0.7500  0.6264  4 Pu 3.23-3.48, 7 Sc 3.28-3.57, 2 Th 3.40
Pu  0.5183  0.2500  0.3736  4 Pu 3.23-3.48, 7 Sc 3.28-3.57, 2 Th 3.40
Pu  0.9817  0.7500  0.8736  4 Pu 3.23-3.48, 7 Sc 3.28-3.57, 2 Th 3.40
Th  0.0073  0.7500  0.3734  5 Sc 3.12-3.45, 4 Th 3.23-3.47, 2 Pu 3.40
Th  0.4927  0.2500  0.8734  5 Sc 3.12-3.45, 4 Th 3.23-3.47, 2 Pu 3.40
Th  0.5073  0.7500  0.1266  5 Sc 3.12-3.45, 4 Th 3.23-3.47, 2 Pu 3.40
Th  0.9927  0.2500  0.6266  5 Sc 3.12-3.45, 4 Th 3.23-3.47, 2 Pu 3.40
Sc  0.2335  0.2500  0.7601  2 Th 3.12-3.18, 5 Sc 3.23-3.26
Sc  0.2488  0.7500  0.9912  5 Sc 3.23-3.26, 3 Pu 3.28-3.43, 3 Th 3.30-3.45
Sc  0.2512  0.2500  0.4912  5 Sc 3.23-3.26, 3 Pu 3.28-3.43, 3 Th 3.30-3.45
Sc  0.2665  0.7500  0.2601  2 Th 3.12-3.18, 5 Sc 3.23-3.26
Sc  0.7335  0.2500  0.7399  2 Th 3.12-3.18, 5 Sc 3.23-3.26
Sc  0.7488  0.7500  0.5088  5 Sc 3.23-3.26, 3 Pu 3.28-3.43, 3 Th 3.30-3.45
Sc  0.7512  0.2500  0.0088  5 Sc 3.23-3.26, 3 Pu 3.28-3.43, 3 Th 3.30-3.45
Sc  0.7665  0.7500  0.2399  2 Th 3.12-3.18, 5 Sc 3.23-3.26

Results
The formation energy is 0.20 eV/atom. The calculation puts the energy above the most stable polymorph in this dataset at 102 meV per atom. The value obtained for the total magnetization is 23.6 μB/cell.

***

No. 4
The following is a PBE calculation of a relaxed NpI3F crystal, from the Alexandria database.

Unit cell a=7.9307 b=7.9307 c=7.9307 alpha=106.21 beta=108.65 gamma=113.65
Last column: nearest neighbours and their distance in Å.
Positions (direct):
Np  0.0732  0.2500  0.3232  1 F 2.02
Np  0.9268  0.7500  0.6768  1 F 2.02
I  0.1630  0.5198  0.7519  2 Np 3.13-3.14
I  0.1630  0.9111  0.1432  2 Np 3.13-3.14
I  0.5536  0.3994  0.6541  2 Np 3.05-3.32
I  0.7453  0.8994  0.3459  2 Np 3.05-3.32
I  0.7679  0.0198  0.8568  2 Np 3.13-3.14
I  0.7679  0.4111  0.2481  2 Np 3.13-3.14
F  0.1966  0.9788  0.7178  1 Np 2.02
F  0.2610  0.4788  0.2822  1 Np 2.02

Results
The value obtained for the total magnetization is 6.0 μB/cell. The uncorrected formation energy is -1.37 eV per atom.

***

No. 5
The following is a PBE calculation of a relaxed Nd6Rh2Br3N crystal, from the Alexandria database.

Unit cell a=6.9661 b=6.9661 c=8.0584 alpha=98.15 beta=98.15 gamma=119.92
Last column: nearest neighbours and their distance in Å.
Positions (direct):
Nd  0.0615  0.3725  0.1868  1 N 2.60, 2 Rh 2.80
Nd  0.2506  0.2506  0.8128  1 N 2.61, 2 Rh 2.80
Nd  0.3725  0.0615  0.1868  1 N 2.60, 2 Rh 2.80
Nd  0.6275  0.9385  0.8132  1 N 2.60, 2 Rh 2.80
Nd  0.7494  0.7494  0.1872  1 N 2.61, 2 Rh 2.80
Nd  0.9385  0.6275  0.8132  1 N 2.60, 2 Rh 2.80
Rh  0.3331  0.6669  0.0000  6 Nd 2.80
Rh  0.6669  0.3331  0.0000  6 Nd 2.80
Br  0.1647  0.8353  0.5000  6 Nd 3.29-3.49
Br  0.5000  0.5000  0.5000  6 Nd 3.31-3.44
Br  0.8353  0.1647  0.5000  6 Nd 3.29-3.49
N  0.0000  0.0000  0.0000  6 Nd 2.60-2.61

Results
The value obtained for the total magnetization is 0.0 μB/cell. The uncorrected formation energy is -1.12 eV per atom.

***

No. 6
The following is a PBE calculation of a relaxed InFe2Ir crystal, from the Alexandria database.

Unit cell a=4.7911 b=4.7911 c=4.7911 alpha=131.99 beta=131.99 gamma=70.25
Last column: nearest neighbours and their distance in Å.
Positions (direct):
In  0.0000  0.0000  0.0000  4 Ir 2.76, 8 Fe 2.76
Fe  0.2500  0.7500  0.5000  4 Fe 2.76, 4 In 2.76, 4 Ir 2.76
Fe  0.7500  0.2500  0.5000  4 Fe 2.76, 4 In 2.76, 4 Ir 2.76
Ir  0.5000  0.5000  0.0000  4 In 2.76, 8 Fe 2.76

Results
The formation energy is 0.15 eV/atom. The value obtained for the total magnetization is 5.9 μB/cell.

***

No. 7
The following is a PBE calculation of a relaxed KCo3Ni crystal, from the Alexandria database.

Unit cell a=4.3597 b=4.3597 c=4.3597 alpha=90.00 beta=90.00 gamma=90.00
Last column: nearest neighbours and their distance in Å.
Positions (direct):
K  0.0000  0.0000  0.0000  6 Co 2.18
Co  0.0000  0.0000  0.5000  2 K 2.18
Co  0.0000  0.5000  0.0000  2 K 2.18
Co  0.5000  0.0000  0.0000  2 K 2.18
Ni  0.5000  0.5000  0.5000  12 Co 3.08

Results
The formation energy is 2.58 eV/atom. The calculation puts the energy above the most stable polymorph in this dataset at 1469 meV per atom. The value obtained for the total magnetization is 5.1 μB/cell.

***

No. 8
The following is a PBE calculation of a relaxed BeAlAg crystal, from the Alexandria database.

Unit cell a=4.0296 b=4.0296 c=4.0296 alpha=60.00 beta=60.00 gamma=60.00
Last column: nearest neighbours and their distance in Å.
Positions (direct):
Be  0.0000  0.0000  0.0000  4 Al 2.47, 4 Ag 2.47
Al  0.7500  0.7500  0.7500  4 Be 2.47
Ag  0.2500  0.2500  0.2500  4 Be 2.47

Results
The formation energy is 0.18 eV/atom. The calculation puts the energy above the most stable polymorph in this dataset at 33 meV per atom. The value obtained for the total magnetization is 0.0 μB/cell.

***

| no. | V (A^3/atom) |
| --- | --- |
| 1 | 9.814 |
| 2 | 9.885 |
| 3 | 27.053 |
| 4 | 38.228 |
| 5 | 27.088 |
| 6 | 14.888 |
| 7 | 16.573 |
| 8 | 15.422 |